1.
Compound: Li12CrGa11O24
Source: the Alexandria database
Functional: GGA-PBEsol
Structure: relaxed

```
data_Li12CrGa11O24
_cell_length_a 7.362
_cell_length_b 8.071
_cell_length_c 9.710
_cell_angle_alpha 78.86
_cell_angle_beta 86.40
_cell_angle_gamma 65.82
_symmetry_space_group_name_H-M 'P 1'
_symmetry_Int_Tables_number 1
_symmetry_space_group_name_Hall 'P 1'
loop_
_atom_site_label
_atom_site_type_symbol
_atom_site_fract_x
_atom_site_fract_y
_atom_site_fract_z
Li1 Li 0.000 0.000 0.000
Li2 Li 0.021 0.609 0.139
Li3 Li 0.113 0.943 0.555
Li4 Li 0.257 0.999 0.252
Li5 Li 0.334 0.332 0.666
Li6 Li 0.359 0.949 0.802
Li7 Li 0.440 0.282 0.219
Li8 Li 0.576 0.338 0.914
Li9 Li 0.670 0.662 0.331
Li10 Li 0.694 0.276 0.474
Li11 Li 0.771 0.610 0.890
Li12 Li 0.917 0.665 0.584
Cr1 Cr 0.823 0.331 0.167
Ga1 Ga 0.089 0.329 0.415
Ga2 Ga 0.165 0.669 0.832
Ga3 Ga 0.193 0.276 0.972
Ga4 Ga 0.279 0.613 0.387
Ga5 Ga 0.409 0.677 0.079
Ga6 Ga 0.507 0.002 0.496
Ga7 Ga 0.529 0.613 0.635
Ga8 Ga 0.611 0.950 0.054
Ga9 Ga 0.753 0.999 0.749
Ga10 Ga 0.871 0.941 0.303
Ga11 Ga 0.944 0.281 0.721
O1 O 0.048 0.790 0.447
O2 O 0.066 0.400 0.588
O3 O 0.121 0.141 0.868
O4 O 0.159 0.737 0.005
O5 O 0.212 0.462 0.298
O6 O 0.250 0.079 0.431
O7 O 0.301 0.416 0.847
O8 O 0.305 0.779 0.708
O9 O 0.380 0.129 0.111
O10 O 0.400 0.733 0.256
O11 O 0.456 0.475 0.535
O12 O 0.505 0.067 0.670
O13 O 0.542 0.802 0.963
O14 O 0.565 0.428 0.091
O15 O 0.643 0.115 0.369
O16 O 0.643 0.749 0.511
O17 O 0.712 0.460 0.776
O18 O 0.730 0.071 0.922
O19 O 0.789 0.810 0.201
O20 O 0.840 0.390 0.340
O21 O 0.882 0.126 0.632
O22 O 0.908 0.748 0.765
O23 O 0.962 0.440 0.043
O24 O 0.991 0.075 0.184
```

Properties
**Formation energy from raw total energies**: -46.4 kcal/mol of atoms
**N(E_F)**: 0.078 states/eV per atom
**Energy**: -6.109 eV/atom
**Spin magnetization**: 0.062 μB per atom



2.
Compound: BeCu2
Source: the Alexandria database
Functional: GGA-PBEsol
Structure: relaxed

```
data_BeCu2
_cell_length_a 4.306
_cell_length_b 4.306
_cell_length_c 4.306
_cell_angle_alpha 105.41
_cell_angle_beta 105.41
_cell_angle_gamma 117.94
_symmetry_space_group_name_H-M 'P 1'
_symmetry_Int_Tables_number 1
_symmetry_space_group_name_Hall 'P 1'
loop_
_atom_site_label
_atom_site_type_symbol
_atom_site_fract_x
_atom_site_fract_y
_atom_site_fract_z
Be1 Be 0.250 0.250 0.000
Be2 Be 0.750 0.750 0.000
Cu1 Cu 0.162 0.662 0.825
Cu2 Cu 0.338 0.162 0.500
Cu3 Cu 0.662 0.838 0.500
Cu4 Cu 0.838 0.338 0.175
```

Properties
**N(E_F)**: 0.227 states/eV per atom
**Energy**: -4.270 eV/atom
**Spin magnetization**: 0.000 μB per atom
**DFT formation energy**: -0.05 eV/atom



3.
Compound: NbInIO2
Source: the Alexandria database
Functional: GGA-PBEsol
Structure: relaxed

```
data_NbInIO2
_cell_length_a 4.121
_cell_length_b 4.121
_cell_length_c 5.781
_cell_angle_alpha 90.00
_cell_angle_beta 90.00
_cell_angle_gamma 90.00
_symmetry_space_group_name_H-M 'P 1'
_symmetry_Int_Tables_number 1
_symmetry_space_group_name_Hall 'P 1'
loop_
_atom_site_label
_atom_site_type_symbol
_atom_site_fract_x
_atom_site_fract_y
_atom_site_fract_z
Nb1 Nb 0.000 0.000 0.000
In1 In 0.500 0.500 0.500
I1 I 0.500 0.500 0.000
O1 O 0.000 0.500 0.500
O2 O 0.500 0.000 0.500
```

Properties
**Formation energy from raw total energies**: 4.7 kcal/mol of atoms
**N(E_F)**: 1.240 states/eV per atom
**Energy**: -5.009 eV/atom
**Spin magnetization**: 0.556 μB per atom



4.
Compound: CdGaP3
Source: the Alexandria database
Functional: GGA-PBEsol
Structure: relaxed

```
data_CdGaP3
_cell_length_a 4.928
_cell_length_b 4.928
_cell_length_c 4.928
_cell_angle_alpha 90.00
_cell_angle_beta 90.00
_cell_angle_gamma 90.00
_symmetry_space_group_name_H-M 'P 1'
_symmetry_Int_Tables_number 1
_symmetry_space_group_name_Hall 'P 1'
loop_
_atom_site_label
_atom_site_type_symbol
_atom_site_fract_x
_atom_site_fract_y
_atom_site_fract_z
Cd1 Cd 0.000 0.000 0.000
Ga1 Ga 0.500 0.500 0.500
P1 P 0.000 0.000 0.500
P2 P 0.000 0.500 0.000
P3 P 0.500 0.000 0.000
```

Properties
**N(E_F)**: 1.161 states/eV per atom
**Energy**: -3.127 eV/atom
**Spin magnetization**: 0.000 μB per atom
**DFT formation energy**: 1.26 eV/atom